[1]
Material: Ce5SnHg
Method: DFT, PBE-GGA
State: optimized geometry

POSCAR file:
```
Ce5SnHg
1.0
3.790 -4.121 0.000
3.790 4.121 0.000
-2.590 0.000 12.271
Ce Sn Hg
10 2 2
Cartesian
1.848 3.839 9.203
0.737 1.808 7.767
0.553 0.977 11.575
2.959 1.808 10.640
3.144 0.977 6.832
1.847 -0.977 5.439
2.032 -1.808 1.631
4.439 -0.977 0.696
4.254 -1.808 4.504
3.143 -3.839 3.068
3.143 1.007 3.068
1.848 -1.007 9.203
0.000 0.000 0.000
-1.295 0.000 6.135
```

energy of formation	-0.23	eV per atom
D(E_F)	36.54	states/eV per cell
total DFT energy (no corrections)	-71.102	eV/cell

[2]
Material: PrSc2Pd
Method: DFT, PBE-GGA
State: optimized geometry

POSCAR file:
```
PrSc2Pd
1.0
2.266 1.308 5.902
-2.266 1.308 5.902
0.000 -2.616 5.902
Pr Sc Pd
1 2 1
Cartesian
0.000 0.000 0.000
0.000 0.000 9.757
0.000 0.000 13.965
0.000 0.000 3.239
```

energy of formation	-0.26	eV per atom
D(E_F)	4.28	states/eV per cell
total DFT energy (no corrections)	-23.690	eV/cell
offset from the most stable computed form	142.2	meV/atom

[3]
Material: Mg2BeN
Method: DFT, PBE-GGA
State: optimized geometry

POSCAR file:
```
Mg2BeN
1.0
-3.100 3.100 3.309
3.100 -3.100 3.309
3.100 3.100 -3.309
Mg Be N
4 2 2
Cartesian
1.550 0.978 -0.827
2.122 -1.550 4.137
1.550 2.122 2.482
0.978 4.650 0.827
3.100 0.000 1.655
0.000 0.000 3.309
0.000 0.000 0.000
0.000 3.100 1.655
```

D(E_F)	3.80	states/eV per cell
raw formation energy	0.301	eV/atom
total DFT energy (no corrections)	-28.072	eV/cell
offset from the most stable computed form	0.0	meV/atom

[4]
Material: LiZr2TaGa
Method: DFT, PBE-GGA
State: optimized geometry

POSCAR file:
```
LiZr2TaGa
1.0
5.095 0.000 0.000
0.000 5.095 0.000
0.000 0.000 4.106
Li Zr Ta Ga
1 2 1 1
Cartesian
0.000 0.000 0.000
0.000 2.548 2.053
2.548 0.000 2.053
2.548 2.548 0.000
0.000 0.000 2.053
```

energy of formation	0.69	eV per atom
D(E_F)	5.37	states/eV per cell
total DFT energy (no corrections)	-30.455	eV/cell

[5]
Material: AcTi3Be4O12
Method: DFT, PBE-GGA
State: optimized geometry

POSCAR file:
```
AcTi3Be4O12
1.0
5.040 2.910 2.506
-5.040 2.910 2.506
0.000 -5.820 2.506
Ac Ti Be O
1 3 4 12
Cartesian
0.000 0.000 0.000
-2.811 -0.951 2.506
2.229 -1.959 2.506
0.582 2.910 2.506
-2.203 -3.816 3.758
0.000 0.000 3.758
-2.203 3.816 3.758
4.407 0.000 3.758
-2.995 -2.507 3.566
-4.127 0.000 3.758
-0.674 -3.847 3.950
-1.562 0.000 3.758
-2.995 2.507 3.950
2.063 -3.574 3.758
0.781 -1.353 3.758
-0.674 3.847 3.566
0.781 1.353 3.758
3.669 -1.340 3.566
2.063 3.574 3.758
3.669 1.340 3.950
```

D(E_F)	12.31	states/eV per cell
raw formation energy	-2.774	eV/atom
total DFT energy (no corrections)	-157.680	eV/cell

[6]
Material: Ac3SmTh2P6
Method: DFT, PBE-GGA
State: optimized geometry

POSCAR file:
```
Ac3SmTh2P6
1.0
3.694 -6.402 0.000
3.694 6.402 0.000
-2.461 0.000 7.035
Ac Sm Th P
3 1 2 6
Cartesian
0.000 0.000 0.000
3.694 2.124 0.000
3.694 -2.124 0.000
2.464 0.000 3.517
2.464 4.266 3.517
2.464 -4.266 3.517
1.225 2.145 1.900
-0.013 0.000 5.133
1.225 -2.145 1.900
3.703 2.145 5.135
4.940 0.000 1.902
3.703 -2.145 5.135
```

energy of formation	-1.52	eV per atom
D(E_F)	2.33	states/eV per cell
total DFT energy (no corrections)	-82.573	eV/cell